A geometry-optimized Pr3Y2Er structure, computed with PBE-GGA.

Cell lengths 6.3142, 6.3142, 11.6687 Å; angles 90.00, 90.00, 59.97 degrees
Closest atoms and distances in Å follow each position.
Fractional coordinates of all 12 atoms:
1 Er 0.6659 0.3341 0.2197  6 Pr 3.59-3.60, 6 Y 3.64-3.65
2 Er 0.3341 0.6659 0.7197  6 Pr 3.59-3.60, 6 Y 3.64-3.65
3 Pr 0.9995 0.0005 0.4696  4 Y 3.59-3.60, 2 Er 3.60, 6 Pr 3.64-3.66
4 Pr 0.3342 0.3351 0.4696  2 Er 3.59, 4 Y 3.60, 6 Pr 3.62-3.66
5 Pr 0.6649 0.6658 0.4696  2 Er 3.59, 4 Y 3.60, 6 Pr 3.62-3.66
6 Pr 0.0005 0.9995 0.9696  4 Y 3.59-3.60, 2 Er 3.60, 6 Pr 3.64-3.66
7 Pr 0.3351 0.3342 0.9696  2 Er 3.59, 4 Y 3.60, 6 Pr 3.62-3.66
8 Pr 0.6658 0.6649 0.9696  2 Er 3.59, 4 Y 3.60, 6 Pr 3.62-3.66
9 Y 0.3326 0.0006 0.2196  6 Pr 3.59-3.60, 3 Er 3.64-3.65, 3 Y 3.64-3.65
10 Y 0.9994 0.6674 0.2196  6 Pr 3.59-3.60, 3 Er 3.64-3.65, 3 Y 3.64-3.65
11 Y 0.0006 0.3326 0.7196  6 Pr 3.59-3.60, 3 Er 3.64-3.65, 3 Y 3.64-3.65
12 Y 0.6674 0.9994 0.7196  6 Pr 3.59-3.60, 3 Er 3.64-3.65, 3 Y 3.64-3.65

Calculated values
Calculated density: 6.3 Mg/m³
DFT formation energy: -0.004 eV/atom
Symmetry: Cmcm
Total moment: 0.09 μB per formula unit